# CrTe2I GGA-PBE relaxed
# final energy	-4.31	eV per atom
# size of the total moment	0.0	μB/f.u.
# symmetry	P3m1, No. 156
# ΔE_f (raw)	0.057	eV/atom
data_CrTe2I
_chemical_formula_sum 'Cr1 Te2 I1'
_cell_length_a 3.470
_cell_length_b 3.470
_cell_length_c 11.603
_cell_angle_alpha 90.00
_cell_angle_beta 90.00
_cell_angle_gamma 120.00
_space_group_name_H-M_alt 'P 1'
_space_group_IT_number 1
loop_
_space_group_symop_operation_xyz
'x,y,z'
loop_
_atom_site_label
_atom_site_type_symbol
_atom_site_fract_x
_atom_site_fract_y
_atom_site_fract_z
_atom_site_occupancy
I1 I 0.333 0.667 0.468 1
Cr1 Cr 0.000 0.000 0.995 1
Te1 Te 0.333 0.667 0.847 1
Te2 Te 0.667 0.333 0.144 1

---

# Ta2SnF GGA-PBE relaxed
# final energy	-7.07	eV per atom
# size of the total moment	0.0	μB/f.u.
# symmetry	I-42d, No. 122
# ΔE_f (raw)	0.328	eV/atom
data_Ta2SnF
_chemical_formula_sum 'Ta4 Sn2 F2'
_cell_length_a 4.740
_cell_length_b 4.740
_cell_length_c 8.188
_cell_angle_alpha 73.17
_cell_angle_beta 73.17
_cell_angle_gamma 90.00
_space_group_name_H-M_alt 'P 1'
_space_group_IT_number 1
loop_
_space_group_symop_operation_xyz
'x,y,z'
loop_
_atom_site_label
_atom_site_type_symbol
_atom_site_fract_x
_atom_site_fract_y
_atom_site_fract_z
_atom_site_occupancy
F1 F 0.500 0.500 0.000 1
F2 F 0.250 0.750 0.500 1
Sn1 Sn 0.000 0.000 0.000 1
Sn2 Sn 0.750 0.250 0.500 1
Ta1 Ta 0.489 0.125 0.250 1
Ta2 Ta 0.261 0.625 0.250 1
Ta3 Ta 0.375 0.511 0.750 1
Ta4 Ta 0.875 0.739 0.750 1

---

Q: What is the final energy in the second record?
A: -7.07 eV per atom

---

Q: Number 1 is which compound?
A: CrTe2I